(1)
NdSm2Co2: optimized geometry, PBE-GGA.

Computed properties:
ΔE to the lowest computed polymorph, meV/atom: 76
Space-group type: C2/m

Cell lengths 6.0801, 6.0801, 5.6704 Å; angles 104.02, 104.02, 36.44 degrees
Last column: nearest neighbours and their distance in Å.
Sites, in units of the cell vectors:
Nd: 0.0000 0.0000 0.0000  6 Co 3.15-3.37
Sm: 0.3524 0.3524 0.4163  4 Co 2.76-3.08
Sm: 0.6476 0.6476 0.5837  4 Co 2.76-3.08
Co: 0.2753 0.2753 0.8983  2 Co 2.37
Co: 0.7247 0.7247 0.1017  2 Co 2.37

(2)
Nd6SmCo2: optimized geometry, PBE-GGA.

Computed properties:
Space-group type: Immm

Cell lengths 8.8118, 8.8118, 8.8118 Å; angles 112.94, 109.23, 106.31 degrees
Last column: nearest neighbours and their distance in Å.
Sites, in units of the cell vectors:
Nd: 0.0107 0.2253 0.7854  1 Co 2.80
Nd: 0.1927 0.4938 0.3011  2 Co 3.03
Nd: 0.1927 0.8916 0.6989  2 Co 3.03
Nd: 0.3051 0.3030 0.6081  3 Co 2.76-2.99
Nd: 0.3051 0.6970 0.0020  3 Co 2.76-2.99
Nd: 0.4399 0.2253 0.2146  1 Co 2.80
Nd: 0.5601 0.7747 0.7854  1 Co 2.80
Nd: 0.6949 0.3030 0.9980  3 Co 2.76-2.99
Nd: 0.6949 0.6970 0.3919  3 Co 2.76-2.99
Nd: 0.8073 0.1084 0.3011  2 Co 3.03
Nd: 0.8073 0.5062 0.6989  2 Co 3.03
Nd: 0.9893 0.7747 0.2146  1 Co 2.80
Sm: 0.0000 0.0000 0.0000  8 Nd 3.24-3.57
Sm: 0.5000 0.0000 0.5000  12 Nd 3.56-3.78
Co: 0.1099 0.5000 0.6099  1 Co 2.24
Co: 0.3906 0.3906 0.0000  1 Co 2.31
Co: 0.6094 0.6094 0.0000  1 Co 2.31
Co: 0.8901 0.5000 0.3901  1 Co 2.24

(3)
Nd2SmCo2: optimized geometry, PBE-GGA.

Computed properties:
ΔE to the lowest computed polymorph, meV/atom: 35
Space-group type: Cmmm

Cell lengths 7.5308, 7.5308, 4.1662 Å; angles 90.00, 90.00, 148.72 degrees
Last column: nearest neighbours and their distance in Å.
Sites, in units of the cell vectors:
Nd: 0.1460 0.8540 0.0000  6 Co 2.92-3.06
Nd: 0.8540 0.1460 0.0000  6 Co 2.92-3.06
Sm: 0.5000 0.5000 0.5000  2 Co 3.08
Co: 0.2876 0.7124 0.5000  2 Co 2.30
Co: 0.7124 0.2876 0.5000  2 Co 2.30

(4)
Nd3SmCo: optimized geometry, PBE-GGA.

Computed properties:
ΔE to the lowest computed polymorph, meV/atom: 0
Space-group type: C2/m

Cell lengths 7.3570, 7.3570, 8.4484 Å; angles 124.88, 124.88, 71.33 degrees
Last column: nearest neighbours and their distance in Å.
Sites, in units of the cell vectors:
Nd: 0.0454 0.0454 0.3374  1 Co 2.62
Nd: 0.0461 0.4549 0.2086  1 Co 2.62
Nd: 0.4549 0.0461 0.2086  1 Co 2.62
Nd: 0.5451 0.9539 0.7914  1 Co 2.62
Nd: 0.9539 0.5451 0.7914  1 Co 2.62
Nd: 0.9546 0.9546 0.6626  1 Co 2.62
Sm: 0.4551 0.4551 0.7499  1 Co 2.60
Sm: 0.5449 0.5449 0.2501  1 Co 2.60
Co: 0.2510 0.2510 0.8712  1 Sm 2.60, 3 Nd 2.62
Co: 0.7490 0.7490 0.1288  1 Sm 2.60, 3 Nd 2.62

For each record above, in turn, the calculated total moment values are 0.000 0.479 0.913 0.000 Bohr magnetons per cell.
For each record above, in turn, the calculated formation energy from the elements values are 19 22 -27 -55 meV/atom.
For each record above, in turn, the calculated total DFT energy (no corrections) values are -28.3 -94.7 -28.6 -52.8 eV per cell.